Computed, not measured: PrGdDy after structural relaxation at the PBE level of DFT.

Computed properties:
Formation enthalpy at 0 K: 0.100 eV/atom
M_tot: 8.038 μB/f.u.
DFT total energy: -7.721 eV/atom

Structure (CIF):
```
data_PrGdDy
_cell_length_a 4.2042
_cell_length_b 4.2042
_cell_length_c 11.4466
_cell_angle_alpha 90.00
_cell_angle_beta 90.00
_cell_angle_gamma 90.00
_space_group_name_H-M_alt 'I 4 m m'
_space_group_IT_number 107
_space_group_name_Hall 'I 4 -2'
loop_
_atom_site_label
_atom_site_type_symbol
_atom_site_fract_x
_atom_site_fract_y
_atom_site_fract_z
Pr1 Pr 0.0000 0.0000 0.0000
Gd1 Gd 0.0000 0.0000 0.3267
Dy1 Dy 0.0000 0.0000 0.6712
```